# 1
{
  "formula": "InCBr3",
  "functional": "GGA-PBE",
  "state": "optimized geometry",
  "cell": [[4.9448, 0.0000, 0.0000], [0.0000, 4.9448, 0.0000], [0.0000, 0.0000, 4.9448]],
  "species": ["In", "C", "Br", "Br", "Br"],
  "frac_coords": [[0.0000, 0.0000, 0.0000], [0.5000, 0.5000, 0.5000], [0.0000, 0.5000, 0.5000], [0.5000, 0.0000, 0.5000], [0.5000, 0.5000, 0.0000]],
  "raw_formation_energy_mev_per_atom": 660.6,
  "spacegroup": "Pm-3m (221)",
  "magmom_total_mub_per_cell": 0.0,
  "dft_energy_ev_per_cell": -13.7
}


# 2
{
  "formula": "AcThC3N6",
  "functional": "GGA-PBE",
  "state": "optimized geometry",
  "cell": [[3.4834, 2.0111, 5.1793], [-3.4834, 2.0111, 5.1793], [0.0000, -4.0223, 5.1793]],
  "species": ["Ac", "Th", "C", "C", "C", "N", "N", "N", "N", "N", "N"],
  "frac_coords": [[0.0000, 0.0000, 0.0000], [0.6438, 0.6438, 0.6438], [0.1068, 0.5517, 0.8001], [0.5517, 0.8001, 0.1068], [0.8001, 0.1068, 0.5517], [0.2282, 0.6607, 0.7855], [0.4473, 0.8153, 0.9806], [0.6607, 0.7855, 0.2282], [0.7855, 0.2282, 0.6607], [0.8153, 0.9806, 0.4473], [0.9806, 0.4473, 0.8153]],
  "raw_formation_energy_mev_per_atom": -612.8,
  "spacegroup": "R3 (146)",
  "magmom_total_mub_per_cell": 0.9,
  "dft_energy_ev_per_cell": -95.9
}


# 3
{
  "formula": "Cd5Ag2Pt",
  "functional": "GGA-PBE",
  "state": "optimized geometry",
  "cell": [[5.8307, 0.0000, 0.0000], [0.0000, 11.6871, 0.0000], [0.0000, 0.0000, 4.5943]],
  "species": ["Cd", "Cd", "Cd", "Cd", "Cd", "Cd", "Cd", "Cd", "Cd", "Cd", "Ag", "Ag", "Ag", "Ag", "Pt", "Pt"],
  "frac_coords": [[0.0000, 0.0000, 0.0000], [0.0659, 0.2609, 0.0000], [0.1908, 0.6072, 0.5000], [0.3092, 0.1072, 0.5000], [0.4341, 0.7609, 0.0000], [0.5000, 0.5000, 0.0000], [0.5659, 0.2391, 0.0000], [0.6908, 0.8928, 0.5000], [0.8092, 0.3928, 0.5000], [0.9341, 0.7391, 0.0000], [0.1860, 0.8632, 0.5000], [0.3140, 0.3632, 0.5000], [0.6860, 0.6368, 0.5000], [0.8140, 0.1368, 0.5000], [0.0000, 0.5000, 0.0000], [0.5000, 0.0000, 0.0000]],
  "spacegroup": "Pbam (55)",
  "magmom_total_mub_per_cell": 0.0,
  "formation_enthalpy_0k_ev_per_fu": -0.85,
  "dft_energy_ev_per_cell": -34.3
}